The following is a PBE-GGA calculation of a relaxed PmVGa crystal, from the Alexandria database.

Computed properties:
DOS(E_F) = 0.823 states/eV per atom
Crystal system = trigonal
Calculated total energy = -96.92 eV per cell
DFT formation energy = 0.25 eV/atom
Total moment = 0.86 μB/f.u.
Relative energy among the computed polymorphs = 0.000 eV per atom

a b c (Å): 4.1052 4.1052 29.0051
angles (deg): 90.00 90.00 120.00
Last column: nearest neighbours and their distance in Å.
Space group R-3m (No. 166, hexagonal axes)
Asymmetric unit:
1 Pm 0.0000 0.0000 0.0749 [6 per cell]  3 Ga 3.04, 4 V 3.12-3.24
2 V 0.0000 0.0000 0.1825 [6 per cell]  3 V 2.54
3 Ga 0.0000 0.0000 0.3240 [6 per cell]  3 Ga 2.43